# 1
6
Lattice="6.301 -0.890 4.637 4.620 5.460 3.295 -6.987 -3.424 -1.208" Properties=species:S:1:pos:R:3 comment="TbHfTe2As2, relaxed, DFT PBE-GGA" dft_energy_ev_per_atom=-5.87 magmom_total_mub_per_cell=0.01 spacegroup="Imm2 (44)" pbc="T T T"
Te 2.748 -0.864 3.960
Hf 6.781 2.837 4.925
Te 0.994 1.929 2.625
As -0.052 -0.998 0.914
As -0.405 -3.221 2.681
Tb 4.103 1.717 2.980


# 2
12
Lattice="2.156 -10.610 0.000 2.156 10.610 0.000 0.000 0.000 12.229" Properties=species:S:1:pos:R:3 comment="KBaTmSe3, relaxed, DFT PBE-GGA" dft_energy_ev_per_atom=-4.54 magmom_total_mub_per_cell=0.02 spacegroup="Cmcm (63)" pbc="T T T"
Tm 2.156 0.000 0.000
Se 2.156 -8.707 6.128
Se 2.156 0.067 3.057
Ba 2.156 -8.337 3.057
K 2.156 8.271 3.057
Ba 2.156 8.337 9.172
Se 2.156 8.707 0.013
Se 2.156 -0.067 9.172
Se 2.156 -8.707 12.216
Tm 2.156 0.000 6.115
K 2.156 -8.271 9.172
Se 2.156 8.707 6.101


# 3
8
Lattice="4.296 0.000 0.000 0.000 4.660 0.000 0.000 0.000 6.315" Properties=species:S:1:pos:R:3 comment="TmReAsO, relaxed, DFT PBE-GGA" e_above_lowest_polymorph_mev_per_atom=491.5 magmom_total_mub_per_cell=0.03 spacegroup="Pmc2_1 (26)" pbc="T T T"
Tm 2.148 1.315 3.791
Tm 2.148 3.345 0.634
As 0.000 2.976 4.985
Re 0.000 4.036 2.755
Re 0.000 0.625 5.912
O 2.148 0.592 5.861
As 0.000 1.684 1.827
O 2.148 4.069 2.704


# 4
24
Lattice="12.546 0.000 0.000 0.000 5.085 0.000 0.000 0.000 13.484" Properties=species:S:1:pos:R:3 comment="RbPrGaTe3, relaxed, DFT PBE-GGA" dft_energy_ev_per_atom=-4.01 magmom_total_mub_per_cell=0.01 spacegroup="Pnma (62)" pbc="T T T"
Te 2.693 1.271 2.777
Rb 10.249 1.271 0.070
Ga 9.496 1.271 9.691
Pr 12.262 1.271 4.368
Ga 3.050 3.814 3.793
Rb 3.977 1.271 6.672
Te 8.966 1.271 3.965
Pr 6.557 3.814 11.110
Ga 3.223 1.271 10.535
Rb 2.296 3.814 13.414
Te 9.853 3.814 10.707
Te 6.860 1.271 9.020
Te 5.686 3.814 4.464
Pr 0.284 3.814 9.116
Te 0.587 1.271 11.206
Te 3.580 3.814 9.519
Te 11.959 3.814 2.278
Te 11.332 1.271 7.563
Rb 8.569 3.814 6.812
Te 1.214 3.814 5.921
Pr 5.989 1.271 2.374
Te 7.486 3.814 0.821
Ga 9.322 3.814 2.949
Te 5.059 1.271 12.663


# 5
8
Lattice="5.611 0.000 0.000 0.000 4.218 0.000 -0.343 0.000 5.923" Properties=species:S:1:pos:R:3 comment="TmGe3Pd4, relaxed, DFT PBE-GGA" dft_energy_ev_per_atom=-5.45 magmom_total_mub_per_cell=0.00 spacegroup="Pm (6)" pbc="T T T"
Pd 3.623 2.109 0.034
Pd 4.667 2.109 2.618
Pd 1.608 0.000 0.111
Ge 4.780 0.000 1.024
Ge 0.321 2.109 4.871
Tm 3.483 0.000 4.035
Pd 0.891 0.000 3.020
Ge 2.042 2.109 2.056


# 6
8
Lattice="5.623 0.000 0.000 0.000 5.623 0.000 0.000 0.000 5.672" Properties=species:S:1:pos:R:3 comment="SrNdPO, relaxed, DFT PBE-GGA" e_above_lowest_polymorph_mev_per_atom=124.3 magmom_total_mub_per_cell=0.00 spacegroup="P4/nmm (129)" pbc="T T T"
O 4.218 1.406 0.000
Nd 4.218 1.406 2.836
P 1.406 1.406 2.855
O 1.406 4.218 0.000
P 4.218 4.218 2.817
Nd 1.406 4.218 2.836
Sr 1.406 1.406 0.014
Sr 4.218 4.218 5.658